1.
## PrCo2 (meta-GGA SCAN)

Data for PrCo2 at its PBEsol-relaxed geometry.

Output
Formation energy (eV per formula unit): 0.32
Final energy (eV/atom): -25.87

Unit cell a=5.071 b=5.071 c=5.071 alpha=60.00 beta=60.00 gamma=60.00
Site moments in Bohr magnetons follow the coordinates.
Sites, in units of the cell vectors:
Co 0.625 0.125 0.125  1.20
Co 0.125 0.625 0.125  1.20
Pr 0.750 0.750 0.750  -0.34
Co 0.125 0.125 0.125  1.20
Pr 0.500 0.500 0.500  -0.34
Co 0.125 0.125 0.625  1.20

2.
## PrCo3 (meta-GGA SCAN)

Data for PrCo3 at its PBEsol-relaxed geometry.

Output
Formation energy (eV per formula unit): 0.36
Final energy (eV/atom): -23.72

Unit cell a=4.975 b=4.975 c=8.646 alpha=73.28 beta=73.28 gamma=60.00
Site moments in Bohr magnetons follow the coordinates.
Sites, in units of the cell vectors:
Co 0.333 0.333 0.001  1.66
Pr 0.860 0.860 0.420  -0.37
Co 0.423 0.917 0.238  1.43
Co 0.577 0.083 0.762  1.43
Pr 0.000 0.000 0.000  -0.30
Co 0.423 0.423 0.238  1.43
Co 0.667 0.667 0.999  1.66
Co 0.917 0.423 0.238  1.43
Co 0.577 0.577 0.762  1.43
Pr 0.140 0.140 0.580  -0.37
Co 0.083 0.577 0.762  1.43
Co 0.500 0.500 0.500  1.31

3.
## PrCo4Si (meta-GGA SCAN)

Data for PrCo4Si at its PBEsol-relaxed geometry.

Output
Raw formation energy (eV/f.u.): -0.80
Final energy (eV/atom): -20.56

Unit cell a=3.891 b=4.841 c=4.841 alpha=117.13 beta=90.00 gamma=90.00
Site moments in Bohr magnetons follow the coordinates.
Sites, in units of the cell vectors:
Co 0.000 0.838 0.162  1.40
Si 0.500 0.000 0.000  -0.04
Co 0.000 0.162 0.838  1.40
Co 0.500 0.000 0.500  1.28
Co 0.500 0.500 0.000  1.28
Pr 0.000 0.500 0.500  -0.15

4.
## PrCo9Si4 (meta-GGA SCAN)

Data for PrCo9Si4 at its PBEsol-relaxed geometry.

Output
Raw formation energy (eV/f.u.): -5.54
Final energy (eV/atom): -17.48

Unit cell a=7.657 b=7.819 c=7.657 alpha=119.32 beta=90.00 gamma=119.32
Site moments in Bohr magnetons follow the coordinates.
Sites, in units of the cell vectors:
Si 0.709 0.759 0.550  -0.04
Co 0.799 0.000 0.929  1.30
Co 0.299 0.000 0.571  1.30
Co 0.948 0.641 0.448  0.61
Co 0.193 0.641 0.948  0.61
Co 0.500 0.000 0.000  0.92
Co 0.693 0.641 0.193  0.61
Pr 0.250 0.500 0.250  -0.08
Co 0.429 0.000 0.299  1.30
Co 0.052 0.359 0.552  0.61
Si 0.791 0.241 0.291  -0.04
Pr 0.750 0.500 0.750  -0.08
Co 0.571 0.000 0.701  1.30
Co 0.701 0.000 0.429  1.30
Si 0.050 0.759 0.209  -0.04
Co 0.807 0.359 0.052  0.61
Si 0.291 0.241 0.450  -0.04
Co 0.307 0.359 0.807  0.61
Co 0.071 0.000 0.799  1.30
Si 0.550 0.759 0.050  -0.04
Co 0.201 0.000 0.071  1.30
Co 0.552 0.359 0.307  0.61
Co 0.929 0.000 0.201  1.30
Si 0.209 0.759 0.709  -0.04
Co 0.448 0.641 0.693  0.61
Si 0.450 0.241 0.950  -0.04
Si 0.950 0.241 0.791  -0.04
Co 0.000 0.000 0.500  0.92

5.
## Co3Pt (meta-GGA SCAN)

Data for Co3Pt at its PBEsol-relaxed geometry.

Output
Formation energy (eV per formula unit): -0.23
Final energy (eV/atom): -30.58

Unit cell a=2.594 b=4.403 c=4.830 alpha=117.12 beta=105.58 gamma=90.00
Site moments in Bohr magnetons follow the coordinates.
Sites, in units of the cell vectors:
Co 0.500 0.164 0.000  1.88
Pt 0.000 0.660 0.000  0.37
Co 0.755 0.759 0.510  1.92
Co 0.245 0.249 0.490  1.92

6.
## CoPt2 (meta-GGA SCAN)

Data for CoPt2 at its PBEsol-relaxed geometry.

Output
Formation energy (eV per formula unit): -0.11
Final energy (eV/atom): -52.60

Unit cell a=2.699 b=4.418 c=7.058 alpha=90.00 beta=101.03 gamma=90.00
Site moments in Bohr magnetons follow the coordinates.
Sites, in units of the cell vectors:
Pt 0.441 0.750 0.882  0.37
Co 0.221 0.250 0.443  2.18
Co 0.779 0.750 0.557  2.18
Pt 0.123 0.750 0.246  0.45
Pt 0.877 0.250 0.754  0.45
Pt 0.559 0.250 0.118  0.37

7.
## CoPt2 (meta-GGA SCAN)

Data for CoPt2 at its PBEsol-relaxed geometry.

Output
Formation energy (eV per formula unit): -0.29
Final energy (eV/atom): -52.66

Unit cell a=2.674 b=2.674 c=11.908 alpha=96.45 beta=96.45 gamma=90.00
Site moments in Bohr magnetons follow the coordinates.
Sites, in units of the cell vectors:
Pt 0.425 0.425 0.850  0.29
Co 0.000 0.000 0.000  2.17
Co 0.250 0.750 0.500  2.17
Pt 0.575 0.575 0.150  0.29
Pt 0.675 0.175 0.350  0.29
Pt 0.825 0.325 0.650  0.29

8.
## CoPt (meta-GGA SCAN)

Data for CoPt at its PBEsol-relaxed geometry.

Output
Formation energy (eV per formula unit): -0.27
Final energy (eV/atom): -43.88

Unit cell a=2.655 b=4.012 c=5.029 alpha=90.00 beta=105.31 gamma=90.00
Site moments in Bohr magnetons follow the coordinates.
Sites, in units of the cell vectors:
Co 0.565 0.750 0.130  2.14
Pt 0.831 0.750 0.661  0.42
Co 0.435 0.250 0.870  2.14
Pt 0.169 0.250 0.339  0.42

9.
## CoPt (meta-GGA SCAN)

Data for CoPt at its PBEsol-relaxed geometry.

Output
Formation energy (eV per formula unit): 0.05
Final energy (eV/atom): -43.72

Unit cell a=4.013 b=4.013 c=4.548 alpha=63.82 beta=63.82 gamma=60.00
Site moments in Bohr magnetons follow the coordinates.
Sites, in units of the cell vectors:
Pt 0.110 0.110 0.670  0.35
Pt 0.890 0.890 0.330  0.35
Co 0.330 0.330 0.011  2.02
Co 0.670 0.670 0.989  2.02

10.
## CoPt3 (meta-GGA SCAN)

Data for CoPt3 at its PBEsol-relaxed geometry.

Output
Formation energy (eV per formula unit): -0.10
Final energy (eV/atom): -57.00

Unit cell a=2.714 b=4.451 c=4.682 alpha=90.00 beta=90.00 gamma=90.00
Site moments in Bohr magnetons follow the coordinates.
Sites, in units of the cell vectors:
Pt 0.500 0.000 0.501  0.44
Pt 0.000 0.500 0.328  0.33
Co 0.000 0.000 0.002  2.26
Pt 0.500 0.500 0.837  0.33

11.
## CoPt3 (meta-GGA SCAN)

Data for CoPt3 at its PBEsol-relaxed geometry.

Output
Formation energy (eV per formula unit): -0.52
Final energy (eV/atom): -57.10

Unit cell a=2.716 b=4.691 c=4.691 alpha=109.73 beta=90.00 gamma=90.00
Site moments in Bohr magnetons follow the coordinates.
Sites, in units of the cell vectors:
Pt 0.500 0.500 0.000  0.29
Pt 0.500 0.000 0.500  0.29
Co 0.000 0.000 0.000  2.22
Pt 0.000 0.500 0.500  0.26

12.
## CoPt2 (meta-GGA SCAN)

Data for CoPt2 at its PBEsol-relaxed geometry.

Output
Formation energy (eV per formula unit): -0.38
Final energy (eV/atom): -52.69

Unit cell a=2.696 b=2.696 c=6.541 alpha=90.00 beta=90.00 gamma=120.00
Site moments in Bohr magnetons follow the coordinates.
Sites, in units of the cell vectors:
Pt 0.667 0.333 0.316  0.32
Co 0.000 0.000 0.000  2.12
Pt 0.333 0.667 0.684  0.32

13.
## CoPt (meta-GGA SCAN)

Data for CoPt at its PBEsol-relaxed geometry.

Output
Formation energy (eV per formula unit): -0.14
Final energy (eV/atom): -43.82

Unit cell a=2.653 b=2.653 c=8.548 alpha=90.00 beta=90.00 gamma=120.00
Site moments in Bohr magnetons follow the coordinates.
Sites, in units of the cell vectors:
Pt 0.667 0.333 0.645  0.28
Pt 0.333 0.667 0.355  0.28
Co 0.333 0.667 0.893  2.03
Co 0.667 0.333 0.107  2.03

14.
## CoPt3 (meta-GGA SCAN)

Data for CoPt3 at its PBEsol-relaxed geometry.

Output
Formation energy (eV per formula unit): -0.19
Final energy (eV/atom): -57.02

Unit cell a=2.708 b=2.708 c=8.892 alpha=90.00 beta=90.00 gamma=120.00
Site moments in Bohr magnetons follow the coordinates.
Sites, in units of the cell vectors:
Pt 0.667 0.333 0.769  0.41
Pt 0.000 0.000 0.500  0.24
Pt 0.667 0.333 0.231  0.41
Co 0.000 0.000 0.000  2.25

15.
## Co7Pt6 (meta-GGA SCAN)

Data for Co7Pt6 at its PBEsol-relaxed geometry.

Output
Formation energy (eV per formula unit): -1.17
Final energy (eV/atom): -41.80

Unit cell a=4.703 b=4.703 c=8.998 alpha=74.85 beta=74.85 gamma=60.00
Site moments in Bohr magnetons follow the coordinates.
Sites, in units of the cell vectors:
Co 0.500 0.500 0.500  2.04
Co 0.408 0.408 0.272  2.04
Co 0.088 0.592 0.728  2.04
Co 0.912 0.408 0.272  2.04
Pt 0.336 0.336 0.992  0.29
Pt 0.846 0.846 0.461  0.34
Pt 0.049 0.049 0.852  0.42
Pt 0.951 0.951 0.148  0.42
Co 0.592 0.088 0.728  2.04
Pt 0.664 0.664 0.008  0.29
Co 0.408 0.912 0.272  2.04
Co 0.592 0.592 0.728  2.04
Pt 0.154 0.154 0.539  0.34

16.
## CoPt3 (meta-GGA SCAN)

Data for CoPt3 at its PBEsol-relaxed geometry.

Output
Formation energy (eV per formula unit): -0.19
Final energy (eV/atom): -57.02

Unit cell a=4.442 b=5.405 c=5.405 alpha=120.00 beta=90.00 gamma=90.00
Site moments in Bohr magnetons follow the coordinates.
Sites, in units of the cell vectors:
Pt 0.750 0.662 0.831  0.42
Pt 0.750 0.169 0.831  0.42
Pt 0.250 0.338 0.169  0.42
Co 0.250 0.333 0.667  2.26
Pt 0.250 0.831 0.662  0.42
Pt 0.750 0.169 0.338  0.42
Co 0.750 0.667 0.333  2.26
Pt 0.250 0.831 0.169  0.42

17.
## Co5Pt (meta-GGA SCAN)

Data for Co5Pt at its PBEsol-relaxed geometry.

Output
Formation energy (eV per formula unit): -0.09
Final energy (eV/atom): -26.13

Unit cell a=2.571 b=2.571 c=10.223 alpha=90.00 beta=90.00 gamma=90.00
Site moments in Bohr magnetons follow the coordinates.
Sites, in units of the cell vectors:
Co 0.000 0.000 0.500  1.87
Co 0.000 0.000 0.815  1.99
Pt 0.500 0.500 0.000  0.30
Co 0.500 0.500 0.342  1.82
Co 0.000 0.000 0.185  1.99
Co 0.500 0.500 0.658  1.82

18.
## CoPt2 (meta-GGA SCAN)

Data for CoPt2 at its PBEsol-relaxed geometry.

Output
Formation energy (eV per formula unit): -0.51
Final energy (eV/atom): -52.73

Unit cell a=2.695 b=2.695 c=5.931 alpha=103.13 beta=103.13 gamma=90.00
Site moments in Bohr magnetons follow the coordinates.
Sites, in units of the cell vectors:
Co 0.000 0.000 0.000  2.19
Pt 0.657 0.657 0.314  0.33
Pt 0.343 0.343 0.686  0.33

19.
## Co24Pt5 (meta-GGA SCAN)

Data for Co24Pt5 at its PBEsol-relaxed geometry.

Output
Formation energy (eV per formula unit): -1.03
Final energy (eV/atom): -26.46

Unit cell a=7.517 b=7.517 c=7.517 alpha=109.47 beta=109.47 gamma=109.47
Site moments in Bohr magnetons follow the coordinates.
Sites, in units of the cell vectors:
Co 0.716 0.325 0.325  1.90
Co 0.391 0.675 0.000  1.90
Co 0.000 0.675 0.391  1.90
Co 0.808 0.183 0.808  1.86
Co 0.192 0.000 0.375  1.86
Pt 0.632 0.000 0.000  0.32
Co 0.325 0.325 0.716  1.90
Co 0.625 0.625 0.817  1.86
Pt 0.368 0.368 0.368  0.32
Co 0.609 0.284 0.609  1.90
Co 0.000 0.375 0.192  1.86
Co 0.625 0.817 0.625  1.86
Co 0.000 0.391 0.675  1.90
Co 0.817 0.625 0.625  1.86
Co 0.675 0.000 0.391  1.90
Co 0.183 0.808 0.808  1.86
Pt 0.000 0.632 0.000  0.32
Pt 0.000 0.000 0.000  0.25
Co 0.609 0.609 0.284  1.90
Co 0.000 0.192 0.375  1.86
Co 0.808 0.808 0.183  1.86
Co 0.391 0.000 0.675  1.90
Co 0.675 0.391 0.000  1.90
Pt 0.000 0.000 0.632  0.32
Co 0.375 0.000 0.192  1.86
Co 0.325 0.716 0.325  1.90
Co 0.375 0.192 0.000  1.86
Co 0.192 0.375 0.000  1.86
Co 0.284 0.609 0.609  1.90

20.
## CoPt (meta-GGA SCAN)

Data for CoPt at its PBEsol-relaxed geometry.

Output
Formation energy (eV per formula unit): -0.10
Final energy (eV/atom): -43.80

Unit cell a=2.669 b=4.313 c=4.525 alpha=90.00 beta=90.00 gamma=90.00
Site moments in Bohr magnetons follow the coordinates.
Sites, in units of the cell vectors:
Co 0.500 0.500 0.414  2.08
Pt 0.000 0.500 0.897  0.43
Co 0.000 0.000 0.586  2.08
Pt 0.500 0.000 0.103  0.43

21.
## Co5Pt (meta-GGA SCAN)

Data for Co5Pt at its PBEsol-relaxed geometry.

Output
Formation energy (eV per formula unit): -0.10
Final energy (eV/atom): -26.14

Unit cell a=2.559 b=4.779 c=5.935 alpha=104.35 beta=90.00 gamma=105.53
Site moments in Bohr magnetons follow the coordinates.
Sites, in units of the cell vectors:
Co 0.998 0.997 0.008  1.89
Co 0.392 0.785 0.286  1.84
Co 0.338 0.676 0.659  1.87
Co 0.051 0.102 0.599  1.82
Co 0.667 0.334 0.342  1.86
Pt 0.720 0.440 0.941  0.35

22.
## CoPt3 (meta-GGA SCAN)

Data for CoPt3 at its PBEsol-relaxed geometry.

Output
Formation energy (eV per formula unit): -0.43
Final energy (eV/atom): -57.08

Unit cell a=2.708 b=2.708 c=7.605 alpha=90.00 beta=90.00 gamma=90.00
Site moments in Bohr magnetons follow the coordinates.
Sites, in units of the cell vectors:
Pt 0.500 0.500 0.230  0.39
Pt 0.000 0.000 0.500  0.23
Co 0.000 0.000 0.000  2.20
Pt 0.500 0.500 0.770  0.39

23.
## CoPt3 (meta-GGA SCAN)

Data for CoPt3 at its PBEsol-relaxed geometry.

Output
Formation energy (eV per formula unit): -0.11
Final energy (eV/atom): -57.00

Unit cell a=2.710 b=4.675 c=5.212 alpha=116.64 beta=105.07 gamma=90.00
Site moments in Bohr magnetons follow the coordinates.
Sites, in units of the cell vectors:
Co 0.000 0.001 0.000  2.24
Pt 0.742 0.402 0.484  0.37
Pt 0.500 0.513 0.000  0.41
Pt 0.258 0.918 0.516  0.37

24.
## CoPt (meta-GGA SCAN)

Data for CoPt at its PBEsol-relaxed geometry.

Output
Formation energy (eV per formula unit): -0.22
Final energy (eV/atom): -43.86

Unit cell a=2.667 b=4.956 c=6.349 alpha=105.65 beta=90.00 gamma=105.66
Site moments in Bohr magnetons follow the coordinates.
Sites, in units of the cell vectors:
Pt 0.726 0.453 0.946  0.41
Co 0.395 0.789 0.265  2.11
Pt 0.039 0.078 0.603  0.36
Co 0.332 0.665 0.680  2.11
Pt 0.675 0.351 0.339  0.39
Co 0.999 0.998 0.000  2.10

25.
## CoPt (meta-GGA SCAN)

Data for CoPt at its PBEsol-relaxed geometry.

Output
Formation energy (eV per formula unit): -0.21
Final energy (eV/atom): -43.86

Unit cell a=2.661 b=4.514 c=4.904 alpha=113.45 beta=105.74 gamma=90.00
Site moments in Bohr magnetons follow the coordinates.
Sites, in units of the cell vectors:
Pt 0.382 0.200 0.765  0.41
Co 0.135 0.310 0.270  2.09
Pt 0.618 0.800 0.235  0.41
Co 0.865 0.690 0.730  2.09